Compound: Y5Si4
Source: Alexandria via LeMat-Bulk
Functional: GGA-PBEsol
Structure: relaxed

## Properties
Its uncorrected formation energy is -0.834 eV per atom.

Cell lengths 7.3600, 14.4454, 7.6160 Å; angles 90.00, 90.00, 90.00 degrees
Closest atoms and distances in Å follow each position.
Space group Pnma (No. 62)
Unique sites:
Y 0.0290 0.0983 0.1829  6 Si 3.00-3.11
Y 0.1476 0.7500 0.5113  5 Si 2.88-3.04
Y 0.1823 0.1229 0.6794  6 Si 2.83-2.99
Si 0.0208 0.7500 0.1029  1 Si 2.51
Si 0.1458 0.5404 0.4718  1 Si 2.48
Si 0.2352 0.2500 0.3729  1 Si 2.51

---

Compound: FeCoMo2
Source: Alexandria via LeMat-Bulk
Functional: GGA-PBEsol
Structure: relaxed

## Properties
For the energy of formation from the pure elements, the calculation gives 61 meV per atom. As for the offset from the most stable computed form: 0 meV/atom.

Cell lengths 3.7352, 3.7352, 3.5864 Å; angles 90.00, 90.00, 90.00 degrees
Closest atoms and distances in Å follow each position.
Space group P4/mmm (No. 123)
Unique sites:
Fe 0.0000 0.0000 0.0000  8 Mo 2.59, 4 Co 2.64
Co 0.5000 0.5000 0.0000  8 Mo 2.59, 4 Fe 2.64
Mo 0.0000 0.5000 0.5000  4 Fe 2.59, 4 Co 2.59, 4 Mo 2.64

---

Compound: CsSmGeSe4
Source: Alexandria via LeMat-Bulk
Functional: GGA-PBEsol
Structure: relaxed

## Properties
Its uncorrected formation energy is -1.157 eV per atom.

Cell lengths 6.7109, 7.0023, 18.2879 Å; angles 90.00, 90.00, 90.00 degrees
Closest atoms and distances in Å follow each position.
Space group P2_12_12_1 (No. 19)
Unique sites:
Cs 0.0156 0.0069 0.4694  7 Se 3.50-3.84
Sm 0.2060 0.0167 0.7268  7 Se 2.95-3.07
Ge 0.2104 0.5179 0.3343  4 Se 2.33-2.37
Se 0.0519 0.2378 0.8562  1 Ge 2.37
Se 0.0660 0.0147 0.0885  1 Ge 2.33
Se 0.0937 0.7609 0.8490  1 Ge 2.37
Se 0.1010 0.5867 0.2147  1 Ge 2.36

---

Compound: CuNi8
Source: Alexandria via LeMat-Bulk
Functional: GGA-PBEsol
Structure: relaxed

## Properties
For the energy of formation from the pure elements, the calculation gives 23 meV per atom.

Cell lengths 7.3567, 7.3567, 3.4727 Å; angles 90.00, 90.00, 90.00 degrees
Closest atoms and distances in Å follow each position.
Space group I4/mmm (No. 139)
Unique sites:
Cu 0.0000 0.0000 0.0000  12 Ni 2.46-2.47
Ni 0.0000 0.3347 0.0000  11 Ni 2.43-2.46, 1 Cu 2.46
Ni 0.1683 0.1683 0.5000  10 Ni 2.43-2.48, 2 Cu 2.47

---

Compound: Zn2GaCuTe4
Source: Alexandria via LeMat-Bulk
Functional: GGA-PBEsol
Structure: relaxed

## Properties
Its uncorrected formation energy is -0.316 eV per atom.

Cell lengths 6.0277, 6.0277, 12.0325 Å; angles 90.00, 90.00, 90.00 degrees
Closest atoms and distances in Å follow each position.
Space group I-42m (No. 121)
Unique sites:
Zn 0.0000 0.5000 0.2500  4 Te 2.62
Ga 0.0000 0.0000 0.0000  4 Te 2.64
Cu 0.0000 0.0000 0.5000  4 Te 2.55
Te 0.2435 0.2435 0.6228  1 Cu 2.55, 2 Zn 2.62, 1 Ga 2.64

---

Compound: RbInF2
Source: Alexandria via LeMat-Bulk
Functional: GGA-PBEsol
Structure: relaxed

## Properties
Its uncorrected formation energy is -2.007 eV per atom. As for the offset from the most stable computed form: 14 meV/atom.

Cell lengths 3.6596, 3.6596, 23.3071 Å; angles 90.00, 90.00, 120.00 degrees
Closest atoms and distances in Å follow each position.
Space group R-3m (No. 166, hexagonal axes)
Unique sites:
Rb 0.0000 0.0000 0.0000  6 F 2.70
In 0.0000 0.0000 0.5000  2 F 2.20
F 0.0000 0.0000 0.4054  1 In 2.20

---

Compound: Sc3ReB
Source: Alexandria via LeMat-Bulk
Functional: GGA-PBEsol
Structure: relaxed

## Properties
For the energy of formation from the pure elements, the calculation gives 360 meV per atom.

Cell lengths 4.4718, 4.4718, 4.4718 Å; angles 90.00, 90.00, 90.00 degrees
Closest atoms and distances in Å follow each position.
Space group Pm-3m (No. 221)
Unique sites:
Sc 0.0000 0.0000 0.5000  2 B 2.24
Re 0.5000 0.5000 0.5000  12 Sc 3.16
B 0.0000 0.0000 0.0000  6 Sc 2.24

---

Compound: K2PdBr4
Source: Alexandria via LeMat-Bulk
Functional: GGA-PBEsol
Structure: relaxed

## Properties
Its uncorrected formation energy is -1.147 eV per atom.

Cell lengths 7.3258, 7.3258, 4.2836 Å; angles 90.00, 90.00, 90.00 degrees
Closest atoms and distances in Å follow each position.
Space group P4/mmm (No. 123)
Unique sites:
K 0.0000 0.5000 0.0000  8 Br 3.36
Pd 0.0000 0.0000 0.5000  4 Br 2.43
Br 0.2346 0.2346 0.5000  1 Pd 2.43

---

Compound: Lu2TlAg
Source: Alexandria via LeMat-Bulk
Functional: GGA-PBEsol
Structure: relaxed

## Properties
For the energy of formation from the pure elements, the calculation gives -370 meV per atom.

Cell lengths 7.1644, 7.1644, 7.1644 Å; angles 90.00, 90.00, 90.00 degrees
Closest atoms and distances in Å follow each position.
Space group Fm-3m (No. 225)
Unique sites:
Lu 0.2500 0.2500 0.2500  4 Tl 3.10, 4 Ag 3.10
Tl 0.0000 0.0000 0.0000  8 Lu 3.10
Ag 0.0000 0.0000 0.5000  8 Lu 3.10

---

Compound: La2CdPt2
Source: Alexandria via LeMat-Bulk
Functional: GGA-PBEsol
Structure: relaxed

## Properties
For the energy of formation from the pure elements, the calculation gives -588 meV per atom.

Cell lengths 3.9406, 3.9406, 16.4952 Å; angles 90.00, 90.00, 90.00 degrees
Closest atoms and distances in Å follow each position.
Space group I4/mmm (No. 139)
Unique sites:
La 0.0000 0.0000 0.1199  4 Pt 2.91
Cd 0.0000 0.0000 0.5000  8 La 3.42
Pt 0.0000 0.5000 0.2500  4 Pt 2.79, 4 La 2.91

---

Compound: RuPbCl2
Source: Alexandria via LeMat-Bulk
Functional: GGA-PBEsol
Structure: relaxed

## Properties
Its uncorrected formation energy is 0.196 eV per atom. As for the offset from the most stable computed form: 320 meV/atom.

Cell lengths 3.4540, 5.7272, 8.6857 Å; angles 90.00, 90.00, 90.00 degrees
Closest atoms and distances in Å follow each position.
Space group Cmm2 (No. 35)
Unique sites:
Ru 0.0000 0.0000 0.0000  2 Cl 2.29
Pb 0.0000 0.5000 0.2493  2 Cl 2.73, 2 Ru 2.77
Cl 0.0000 0.0000 0.4926  2 Pb 2.73
Cl 0.0000 0.5000 0.8267  2 Ru 2.29

---

Compound: HfFe3Os
Source: Alexandria via LeMat-Bulk
Functional: GGA-PBEsol
Structure: relaxed

## Properties
For the energy of formation from the pure elements, the calculation gives 2039 meV per atom.

Cell lengths 4.3263, 4.3263, 4.3263 Å; angles 90.00, 90.00, 90.00 degrees
Closest atoms and distances in Å follow each position.
Space group Pm-3m (No. 221)
Unique sites:
Hf 0.0000 0.0000 0.0000  6 Fe 2.16
Fe 0.0000 0.0000 0.5000  2 Hf 2.16
Os 0.5000 0.5000 0.5000  12 Fe 3.06

---

| no. | V (Å³ per cell) | M_tot (μB per formula unit) |
| --- | --- | --- |
| 1 | 809.7 | 0.0 |
| 2 | 50.0 | 0.1 |
| 3 | 859.4 | 0.0 |
| 4 | 187.9 | 4.6 |
| 5 | 437.2 | 0.0 |
| 6 | 270.3 | 0.0 |
| 7 | 89.4 | 0.0 |
| 8 | 229.9 | 0.0 |
| 9 | 367.7 | 0.0 |
| 10 | 256.1 | 0.0 |
| 11 | 171.8 | 0.0 |
| 12 | 81.0 | 6.7 |